Compound: Pa2Co3TcP4
Source: Alexandria
Functional: PBE
Structure: optimized geometry

```
Pa2Co3TcP4
1.0
-3.1951 -0.5189 -2.3628
-2.1362 -1.2317 3.1592
-2.5632 8.5306 1.5927
Pa Co P Tc
2 3 4 1
Cartesian
-3.0084 5.8418 2.7853 Pa
-2.2204 1.8136 -0.7944 Pa
-1.2816 4.2653 0.7964 Co
-3.8799 7.3367 0.2368 Co
-1.3489 0.3187 1.7541 Co
-2.6657 -0.8753 0.3982 P
0.0000 0.0000 0.0000 P
-3.2411 5.2104 -0.1601 P
-1.9878 2.4449 2.1510 P
-3.9473 3.3900 1.1945 Tc
```

Summary:
- Total magnetic moment: 0.00 μB/f.u.
- Density of states at the Fermi level: 3.28 states/eV/cell
- ΔH_f (0 K): -22.92 kcal/mol of atoms

Compound: Ta3NiSe
Source: Alexandria
Functional: PBE
Structure: optimized geometry

```
Ta3NiSe
1.0
-2.8617 1.1403 -3.4596
1.1281 -3.9058 -2.2205
-3.4636 -2.2143 2.1352
Ni Ta Se
1 3 1
Cartesian
0.0000 0.0000 0.0000 Ni
-1.7318 -1.1072 1.0676 Ta
0.5641 -1.9529 -1.1103 Ta
-1.4309 0.5702 -1.7298 Ta
-2.5986 -2.4899 -1.7725 Se
```

Summary:
- Total magnetic moment: 0.00 μB/f.u.
- Density of states at the Fermi level: 6.64 states/eV/cell
- Relative energy among the computed polymorphs: 0.000 eV/atom
- E_form (uncorrected): 0.90 eV per atom

Compound: La2TbCo
Source: Alexandria
Functional: PBE
Structure: optimized geometry

```
La2TbCo
1.0
3.4899 0.0000 0.0000
1.7449 3.0223 0.0000
1.7449 1.0074 11.0266
Tb Co La
1 1 2
Cartesian
3.4899 2.0149 5.5133 Tb
0.0000 0.0000 0.0000 Co
1.7449 1.0074 8.6163 La
5.2348 3.0223 2.4103 La
```

Summary:
- Total magnetic moment: 0.52 μB/f.u.
- Density of states at the Fermi level: 6.19 states/eV/cell
- Relative energy among the computed polymorphs: 0.575 eV/atom
- ΔH_f (0 K): 10.91 kcal/mol of atoms

Compound: UGa5Re
Source: Alexandria
Functional: PBE
Structure: optimized geometry

```
UGa5Re
1.0
4.4778 0.0000 0.0000
0.0000 4.4778 0.0000
0.0000 0.0000 6.5485
Ga Re U
5 1 1
Cartesian
2.2389 0.0000 1.9662 Ga
2.2389 2.2389 0.0000 Ga
2.2389 0.0000 4.5823 Ga
0.0000 2.2389 4.5823 Ga
0.0000 2.2389 1.9662 Ga
0.0000 0.0000 3.2743 Re
0.0000 0.0000 0.0000 U
```

Summary:
- Total magnetic moment: 1.87 μB/f.u.
- Density of states at the Fermi level: 5.13 states/eV/cell
- ΔH_f (0 K): -4.04 kcal/mol of atoms

Compound: LaTaP2O
Source: Alexandria
Functional: PBE
Structure: optimized geometry

```
LaTaP2O
1.0
5.3878 0.0000 0.0000
0.0000 5.3878 0.0000
0.0000 0.0000 4.0462
La Ta P O
1 1 2 1
Cartesian
0.0000 0.0000 0.0000 La
2.6939 2.6939 2.0231 Ta
0.0000 2.6939 0.0000 P
2.6939 0.0000 0.0000 P
0.0000 0.0000 2.0231 O
```

Summary:
- Total magnetic moment: 1.19 μB/f.u.
- Density of states at the Fermi level: 4.43 states/eV/cell
- Relative energy among the computed polymorphs: 1.972 eV/atom
- E_form (uncorrected): 0.51 eV per atom

Compound: Nd6TlBi2
Source: Alexandria
Functional: PBE
Structure: optimized geometry

```
Nd6TlBi2
1.0
-0.5458 3.9061 2.2359
-8.5427 -1.6474 0.7927
5.5666 -2.7427 6.1504
Bi Nd Tl
2 6 1
Cartesian
0.8635 -2.3771 4.3635 Bi
-3.8392 -2.0130 2.5795 Bi
-5.5322 -1.3121 5.5383 Nd
-7.1325 -2.3415 2.3495 Nd
-2.1648 -0.4175 0.2009 Nd
-2.2216 -3.2786 5.1854 Nd
-1.4935 0.1523 3.9658 Nd
-5.3111 0.9815 1.5855 Nd
-0.2740 1.9529 1.1180 Tl
```

Summary:
- Total magnetic moment: 5.20 μB/f.u.
- Density of states at the Fermi level: 10.20 states/eV/cell
- ΔH_f (0 K): -11.59 kcal/mol of atoms

Compound: PrErNi3
Source: Alexandria
Functional: PBE
Structure: optimized geometry

```
PrErNi3
1.0
4.0099 0.0000 0.0000
0.0000 3.8791 -0.7417
0.0000 0.3292 12.2366
Pr Ni Er
2 6 2
Cartesian
1.0025 0.3311 1.7319 Pr
3.0074 3.8772 9.7630 Pr
1.0025 1.7075 8.9302 Ni
3.0074 2.0563 0.2399 Ni
3.0074 2.5008 2.5647 Ni
3.0074 1.4627 7.6503 Ni
1.0025 2.7456 3.8447 Ni
1.0025 2.1520 11.2550 Ni
3.0074 0.9306 4.8672 Er
1.0025 3.2777 6.6277 Er
```

Summary:
- Total magnetic moment: 0.00 μB/f.u.
- Density of states at the Fermi level: 9.71 states/eV/cell
- ΔH_f (0 K): -8.66 kcal/mol of atoms

Compound: Dy2BeH
Source: Alexandria
Functional: PBE
Structure: optimized geometry

```
Dy2BeH
1.0
-1.4157 2.1495 2.2707
0.3024 -0.6136 3.3634
6.6831 4.9691 2.0568
H Dy Be
1 2 1
Cartesian
2.7849 3.2525 3.8454 H
1.2767 3.0460 5.6947 Dy
4.2931 3.4590 1.9962 Dy
0.0000 0.0000 0.0000 Be
```

Summary:
- Total magnetic moment: 0.00 μB/f.u.
- Density of states at the Fermi level: 2.07 states/eV/cell
- VASP energy: -14.3 eV/cell